{"formula": "Tl5Pd3I12", "functional": "PBE", "state": "optimized geometry", "e_form_raw_ev_per_atom": -0.148, "e_tot_ev_per_fu": -48.976, "magnetic_moment_mub_per_cell": 0.00, "lattice_angstrom": [[-9.8081, 9.8081, 9.8081], [9.8081, -9.8081, 9.8081], [9.8081, 9.8081, -9.8081]], "species": ["Tl", "Tl", "Tl", "Tl", "Tl", "Tl", "Tl", "Tl", "Tl", "Tl", "Tl", "Tl", "Tl", "Tl", "Tl", "Tl", "Tl", "Tl", "Tl", "Tl", "Pd", "Pd", "Pd", "Pd", "Pd", "Pd", "Pd", "Pd", "Pd", "Pd", "Pd", "Pd", "I", "I", "I", "I", "I", "I", "I", "I", "I", "I", "I", "I", "I", "I", "I", "I", "I", "I", "I", "I", "I", "I", "I", "I", "I", "I", "I", "I", "I", "I", "I", "I", "I", "I", "I", "I", "I", "I", "I", "I", "I", "I", "I", "I", "I", "I", "I", "I"], "fractional_positions": [[0.0000, 0.0000, 0.0000], [0.0000, 0.0000, 0.5000], [0.0000, 0.5000, 0.0000], [0.0000, 0.5000, 0.5000], [0.1250, 0.7500, 0.8750], [0.1250, 0.8750, 0.2500], [0.2500, 0.1250, 0.8750], [0.2500, 0.6250, 0.3750], [0.3750, 0.2500, 0.6250], [0.3750, 0.6250, 0.7500], [0.5000, 0.0000, 0.0000], [0.5000, 0.0000, 0.5000], [0.5000, 0.5000, 0.0000], [0.5000, 0.5000, 0.5000], [0.6250, 0.3750, 0.2500], [0.6250, 0.7500, 0.3750], [0.7500, 0.3750, 0.6250], [0.7500, 0.8750, 0.1250], [0.8750, 0.1250, 0.7500], [0.8750, 0.2500, 0.1250], [0.1250, 0.2500, 0.3750], [0.1250, 0.3750, 0.7500], [0.2500, 0.3750, 0.1250], [0.2500, 0.8750, 0.6250], [0.3750, 0.1250, 0.2500], [0.3750, 0.7500, 0.1250], [0.6250, 0.2500, 0.8750], [0.6250, 0.8750, 0.7500], [0.7500, 0.1250, 0.3750], [0.7500, 0.6250, 0.8750], [0.8750, 0.6250, 0.2500], [0.8750, 0.7500, 0.6250], [0.0188, 0.6172, 0.3715], [0.0188, 0.9016, 0.6473], [0.0984, 0.2457, 0.1172], [0.0984, 0.3527, 0.9812], [0.1172, 0.0984, 0.2457], [0.1172, 0.5188, 0.8715], [0.1285, 0.7457, 0.6473], [0.1285, 0.8828, 0.4812], [0.1473, 0.2457, 0.6285], [0.1473, 0.4016, 0.5188], [0.2457, 0.1172, 0.0984], [0.2457, 0.6285, 0.1473], [0.2543, 0.3527, 0.8715], [0.2543, 0.4016, 0.3828], [0.3527, 0.8715, 0.2543], [0.3527, 0.9812, 0.0984], [0.3715, 0.0188, 0.6172], [0.3715, 0.8527, 0.7543], [0.3828, 0.2543, 0.4016], [0.3828, 0.6285, 0.9812], [0.4016, 0.3828, 0.2543], [0.4016, 0.5188, 0.1473], [0.4812, 0.1285, 0.8828], [0.4812, 0.8527, 0.5984], [0.5188, 0.1473, 0.4016], [0.5188, 0.8715, 0.1172], [0.5984, 0.4812, 0.8527], [0.5984, 0.6172, 0.7457], [0.6172, 0.3715, 0.0188], [0.6172, 0.7457, 0.5984], [0.6285, 0.1473, 0.2457], [0.6285, 0.9812, 0.3828], [0.6473, 0.0188, 0.9016], [0.6473, 0.1285, 0.7457], [0.7457, 0.5984, 0.6172], [0.7457, 0.6473, 0.1285], [0.7543, 0.3715, 0.8527], [0.7543, 0.8828, 0.9016], [0.8527, 0.5984, 0.4812], [0.8527, 0.7543, 0.3715], [0.8715, 0.1172, 0.5188], [0.8715, 0.2543, 0.3527], [0.8828, 0.4812, 0.1285], [0.8828, 0.9016, 0.7543], [0.9016, 0.6473, 0.0188], [0.9016, 0.7543, 0.8828], [0.9812, 0.0984, 0.3527], [0.9812, 0.3828, 0.6285]]}

{"formula": "Tl6PdI12", "functional": "PBE", "state": "optimized geometry", "e_form_raw_ev_per_atom": -0.365, "e_tot_ev_per_fu": -44.922, "magnetic_moment_mub_per_cell": 0.00, "lattice_angstrom": [[8.2602, 4.7690, 3.8345], [-8.2602, 4.7690, 3.8345], [0.0000, -9.5380, 3.8345]], "species": ["Tl", "Tl", "Tl", "Tl", "Tl", "Tl", "Pd", "I", "I", "I", "I", "I", "I", "I", "I", "I", "I", "I", "I"], "fractional_positions": [[0.1211, 0.3250, 0.5082], [0.3250, 0.5082, 0.1211], [0.4918, 0.8789, 0.6750], [0.5082, 0.1211, 0.3250], [0.6750, 0.4918, 0.8789], [0.8789, 0.6750, 0.4918], [0.0000, 0.0000, 0.0000], [0.0129, 0.7334, 0.8721], [0.1279, 0.9871, 0.2666], [0.1561, 0.6207, 0.3998], [0.2666, 0.1279, 0.9871], [0.3793, 0.6002, 0.8439], [0.3998, 0.1561, 0.6207], [0.6002, 0.8439, 0.3793], [0.6207, 0.3998, 0.1561], [0.7334, 0.8721, 0.0129], [0.8439, 0.3793, 0.6002], [0.8721, 0.0129, 0.7334], [0.9871, 0.2666, 0.1279]]}

{"formula": "TlPd2I2", "functional": "PBE", "state": "optimized geometry", "e_form_raw_ev_per_atom": -0.066, "e_tot_ev_per_fu": -16.184, "magnetic_moment_mub_per_cell": 0.00, "lattice_angstrom": [[-2.0307, 2.0307, 8.2471], [2.0307, -2.0307, 8.2471], [2.0307, 2.0307, -8.2471]], "species": ["Tl", "Pd", "Pd", "I", "I"], "fractional_positions": [[0.0000, 0.0000, 0.0000], [0.2500, 0.7500, 0.5000], [0.7500, 0.2500, 0.5000], [0.3712, 0.3712, 0.0000], [0.6288, 0.6288, 0.0000]]}

{"formula": "TlPdI", "functional": "PBE", "state": "optimized geometry", "e_form_raw_ev_per_atom": -0.320, "e_tot_ev_per_fu": -10.069, "magnetic_moment_mub_per_cell": 0.00, "lattice_angstrom": [[4.5383, 0.0000, 0.0000], [0.0000, 6.0484, 0.0000], [-2.1626, 0.0000, 6.8560]], "species": ["Tl", "Tl", "Pd", "Pd", "I", "I"], "fractional_positions": [[0.0783, 0.2500, 0.1637], [0.9217, 0.7500, 0.8363], [0.5000, 0.0000, 0.0000], [0.5000, 0.5000, 0.0000], [0.3462, 0.2500, 0.6764], [0.6538, 0.7500, 0.3236]]}

{"formula": "Tl3PdI4", "functional": "PBE", "state": "optimized geometry", "e_form_raw_ev_per_atom": -0.441, "e_tot_ev_per_fu": -22.022, "magnetic_moment_mub_per_cell": 1.75, "lattice_angstrom": [[12.7556, 0.0000, 0.0000], [0.0000, 7.1323, 0.0000], [0.0000, 0.0000, 7.0918]], "species": ["Tl", "Tl", "Tl", "Tl", "Tl", "Tl", "Pd", "Pd", "I", "I", "I", "I", "I", "I", "I", "I"], "fractional_positions": [[0.0000, 0.1083, 0.0000], [0.2479, 0.2944, 0.3819], [0.2521, 0.7056, 0.8819], [0.5000, 0.8917, 0.5000], [0.7479, 0.7056, 0.8819], [0.7521, 0.2944, 0.3819], [0.0000, 0.8448, 0.3172], [0.5000, 0.1552, 0.8172], [0.0000, 0.1708, 0.5196], [0.0000, 0.5853, 0.0330], [0.2166, 0.7896, 0.3798], [0.2834, 0.2104, 0.8798], [0.5000, 0.4147, 0.5330], [0.5000, 0.8292, 0.0196], [0.7166, 0.2104, 0.8798], [0.7834, 0.7896, 0.3798]]}

{"formula": "Tl2Pd2I", "functional": "PBE", "state": "optimized geometry", "e_form_raw_ev_per_atom": -0.090, "e_tot_ev_per_fu": -17.118, "magnetic_moment_mub_per_cell": 0.00, "de_polymorph_mev_per_atom": 0, "lattice_angstrom": [[7.7548, 0.0000, 0.0000], [0.0000, 7.7548, 0.0000], [0.0000, 0.0000, 3.9210]], "species": ["Tl", "Tl", "Tl", "Tl", "Pd", "Pd", "Pd", "Pd", "I", "I"], "fractional_positions": [[0.1594, 0.3406, 0.0000], [0.3406, 0.8406, 0.0000], [0.6594, 0.1594, 0.0000], [0.8406, 0.6594, 0.0000], [0.1349, 0.6349, 0.5000], [0.3651, 0.1349, 0.5000], [0.6349, 0.8651, 0.5000], [0.8651, 0.3651, 0.5000], [0.0000, 0.0000, 0.5000], [0.5000, 0.5000, 0.5000]]}